Entry from Alexandria via LeMat-Bulk: an optimized crystal structure of SrLa2Hg (PBEsol).

Output
- ΔH_f (0 K) (eV per atom) = -0.246
- crystal system = tetragonal

abc: 3.8009 3.8009 9.3044
angles: 90.00 90.00 90.00
Sites, in units of the cell vectors:
La: 0.5000 0.5000 0.2190
Sr: 0.0000 0.0000 0.5471
Hg: 0.5000 0.5000 0.7659
La: 0.0000 0.0000 0.9680

=====

Entry from Alexandria via LeMat-Bulk: an optimized crystal structure of ZrFeGe2 (PBEsol).

Output
- ΔH_f (0 K) (eV per atom) = -0.612
- crystal system = orthorhombic

abc: 7.8544 9.0445 10.0654
angles: 90.00 90.00 90.00
Sites, in units of the cell vectors:
Ge: 0.5000 0.8756 0.6028
Ge: 0.0000 0.4557 0.6233
Zr: 0.7438 0.6751 0.5492
Ge: 0.8434 0.3412 0.1803
Ge: 0.5000 0.6244 0.1028
Ge: 0.5000 0.3756 0.8972
Ge: 0.0000 0.0443 0.1233
Ge: 0.0000 0.5443 0.3767
Zr: 0.5000 0.3339 0.1797
Ge: 0.0000 0.3791 0.8997
Ge: 0.1566 0.8412 0.3197
Fe: 0.7497 0.9092 0.7535
Zr: 0.7438 0.8249 0.0492
Ge: 0.5000 0.9603 0.8791
Ge: 0.0000 0.8791 0.6003
Zr: 0.2562 0.6751 0.5492
Fe: 0.7497 0.0908 0.2465
Ge: 0.1566 0.3412 0.1803
Ge: 0.8434 0.8412 0.3197
Zr: 0.7438 0.1751 0.9508
Ge: 0.5000 0.5397 0.3791
Ge: 0.0000 0.6209 0.1003
Zr: 0.5000 0.6661 0.8203
Ge: 0.0000 0.9557 0.8767
Zr: 0.7438 0.3249 0.4508
Zr: 0.5000 0.8339 0.3203
Fe: 0.2503 0.9092 0.7535
Fe: 0.2533 0.5000 0.0000
Ge: 0.1566 0.1588 0.6803
Ge: 0.5000 0.0397 0.1209
Fe: 0.7497 0.5908 0.2535
Ge: 0.1566 0.6588 0.8197
Zr: 0.2562 0.1751 0.9508
Zr: 0.2562 0.8249 0.0492
Zr: 0.2562 0.3249 0.4508
Fe: 0.2503 0.5908 0.2535
Ge: 0.8434 0.6588 0.8197
Fe: 0.7467 0.5000 0.0000
Fe: 0.2533 0.0000 0.5000
Ge: 0.5000 0.4603 0.6209
Fe: 0.7467 0.0000 0.5000
Zr: 0.5000 0.1661 0.6797
Ge: 0.5000 0.1244 0.3972
Ge: 0.0000 0.1209 0.3997
Fe: 0.7497 0.4092 0.7465
Fe: 0.2503 0.0908 0.2465
Fe: 0.2503 0.4092 0.7465
Ge: 0.8434 0.1588 0.6803

=====

Entry from Alexandria via LeMat-Bulk: an optimized crystal structure of SiAsPdSe2 (PBEsol).

Output
- ΔE_f (raw) (kcal/mol of atoms) = 14.80
- crystal system = tetragonal

abc: 4.5798 4.9855 4.9855
angles: 90.00 90.00 90.00
Sites, in units of the cell vectors:
Si: 0.5000 0.5000 0.5000
Se: 0.0000 0.0000 0.5000
Pd: 0.0000 0.0000 0.0000
Se: 0.0000 0.5000 0.0000
As: 0.5000 0.0000 0.0000

=====

Entry from Alexandria via LeMat-Bulk: an optimized crystal structure of Ni2OsRh (PBEsol).

Output
- ΔH_f (0 K) (eV per atom) = 0.049
- crystal system = tetragonal

abc: 3.5935 3.5935 4.5132
angles: 113.46 113.46 90.00
Sites, in units of the cell vectors:
Rh: 0.2500 0.7500 0.5000
Ni: 0.7500 0.2500 0.5000
Ni: 0.0000 0.0000 0.0000
Os: 0.5000 0.5000 0.0000

=====

Entry from Alexandria via LeMat-Bulk: an optimized crystal structure of ZnSbAu2 (PBEsol).

Output
- ΔE_f (raw) (kcal/mol of atoms) = 1.64
- crystal system = orthorhombic
- offset from the most stable computed form (kJ per mole of atoms) = 12.6

abc: 3.3909 4.7357 5.4484
angles: 115.76 108.13 90.00
Sites, in units of the cell vectors:
Zn: 0.5000 0.0000 0.0000
Au: 0.2224 0.2224 0.4448
Sb: 0.0000 0.5000 0.0000
Au: 0.7776 0.7776 0.5552

=====

Entry from Alexandria via LeMat-Bulk: an optimized crystal structure of UNi5Ge3 (PBEsol).

Output
- ΔH_f (0 K) (eV per atom) = -0.381
- crystal system = orthorhombic

abc: 3.8445 6.6743 18.7997
angles: 90.00 90.00 90.00
Last column: magnetic moment on the atom in μB.
Sites, in units of the cell vectors:
Ni: 0.7500 0.3019 0.7002  0.04
Ni: 0.2500 0.6176 0.0152  0.03
Ni: 0.7500 0.6461 0.8903  0.01
Ni: 0.7500 0.5911 0.2114  -0.01
Ni: 0.2500 0.3668 0.4960  0.04
Ni: 0.7500 0.1981 0.2002  0.04
Ge: 0.7500 0.6018 0.7674  -0.01
Ni: 0.2500 0.1461 0.6097  0.01
Ge: 0.2500 0.3982 0.2326  -0.01
U: 0.2500 0.8797 0.1452  1.65
Ni: 0.2500 0.1332 0.9960  0.04
Ge: 0.7500 0.5911 0.0879  0.00
Ni: 0.7500 0.6332 0.5040  0.04
Ni: 0.2500 0.3539 0.1097  0.01
Ni: 0.2500 0.4089 0.7886  -0.01
Ni: 0.2500 0.0911 0.2886  -0.01
Ni: 0.2500 0.8019 0.7998  0.04
Ni: 0.7500 0.8668 0.0040  0.04
Ni: 0.2500 0.6981 0.2998  0.04
Ni: 0.7500 0.8539 0.3903  0.01
U: 0.2500 0.6203 0.6452  1.65
U: 0.7500 0.1203 0.8548  1.65
Ni: 0.7500 0.1176 0.4848  0.03
Ge: 0.2500 0.8526 0.9245  0.00
Ni: 0.7500 0.9089 0.7114  -0.01
Ge: 0.2500 0.1018 0.7326  -0.01
U: 0.7500 0.3797 0.3548  1.65
Ni: 0.7500 0.3824 0.9848  0.03
Ge: 0.7500 0.3526 0.5755  0.00
Ge: 0.7500 0.9089 0.5879  0.00
Ge: 0.2500 0.6474 0.4245  0.00
Ge: 0.7500 0.1474 0.0755  0.00
Ni: 0.2500 0.8824 0.5152  0.03
Ge: 0.7500 0.8982 0.2674  -0.01
Ge: 0.2500 0.4089 0.9121  0.00
Ge: 0.2500 0.0911 0.4121  0.00

=====

Entry from Alexandria via LeMat-Bulk: an optimized crystal structure of Zn3Au4 (PBEsol).

Output
- ΔH_f (0 K) (eV per atom) = -0.163
- crystal system = tetragonal

abc: 3.3117 3.3117 10.3039
angles: 99.25 99.25 90.00
Sites, in units of the cell vectors:
Zn: 0.0000 0.0000 0.0000
Zn: 0.2867 0.2867 0.5734
Au: 0.4306 0.4306 0.8612
Zn: 0.7133 0.7133 0.4266
Au: 0.5694 0.5694 0.1388
Au: 0.8466 0.8466 0.6932
Au: 0.1534 0.1534 0.3068

=====

Entry from Alexandria via LeMat-Bulk: an optimized crystal structure of BaTc3Sb (PBEsol).

Output
- ΔE_f (raw) (kcal/mol of atoms) = 34.53
- crystal system = cubic

abc: 4.9544 4.9544 4.9544
angles: 90.00 90.00 90.00
Last column: magnetic moment on the atom in μB.
Sites, in units of the cell vectors:
Sb: 0.0000 0.0000 0.0000  -0.04
Ba: 0.5000 0.5000 0.5000  0.03
Tc: 0.0000 0.0000 0.5000  1.04
Tc: 0.0000 0.5000 0.0000  1.04
Tc: 0.5000 0.0000 0.0000  1.04

=====

Entry from Alexandria via LeMat-Bulk: an optimized crystal structure of TaAsP (PBEsol).

Output
- ΔH_f (0 K) (eV per atom) = -0.122
- crystal system = orthorhombic
- offset from the most stable computed form (kJ per mole of atoms) = 0.0

abc: 2.8661 2.8661 7.0946
angles: 98.58 98.58 105.15
Sites, in units of the cell vectors:
P: 0.6964 0.6964 0.3928
Ta: 0.3283 0.3283 0.6565
As: 0.9754 0.9754 0.9507

=====

Entry from Alexandria via LeMat-Bulk: an optimized crystal structure of AlSiN2 (PBEsol).

Output
- ΔE_f (raw) (kcal/mol of atoms) = 13.17
- crystal system = cubic

abc: 3.6687 3.6687 3.6687
angles: 60.00 60.00 60.00
Sites, in units of the cell vectors:
N: 0.7500 0.7500 0.7500
Si: 0.5000 0.5000 0.5000
N: 0.2500 0.2500 0.2500
Al: 0.0000 0.0000 0.0000

=====

Entry from Alexandria via LeMat-Bulk: an optimized crystal structure of ZrRhSe2 (PBEsol).

Output
- ΔE_f (raw) (kcal/mol of atoms) = -10.26
- crystal system = trigonal
- offset from the most stable computed form (kJ per mole of atoms) = 32.0

abc: 3.3691 3.3691 8.5279
angles: 78.61 78.61 60.00
Sites, in units of the cell vectors:
Se: 0.0941 0.0941 0.7177
Rh: 0.0000 0.0000 0.0000
Zr: 0.5000 0.5000 0.5000
Se: 0.9059 0.9059 0.2823

=====

Entry from Alexandria via LeMat-Bulk: an optimized crystal structure of LaRh2Pb (PBEsol).

Output
- ΔH_f (0 K) (eV per atom) = -0.404
- crystal system = tetragonal

abc: 3.7401 4.5956 4.5956
angles: 90.00 90.00 90.00
Sites, in units of the cell vectors:
Rh: 0.0000 0.5000 0.0000
Rh: 0.0000 0.0000 0.5000
La: 0.5000 0.5000 0.5000
Pb: 0.5000 0.0000 0.0000

=====

Entry from Alexandria via LeMat-Bulk: an optimized crystal structure of LuTaO4 (PBEsol).

Output
- ΔE_f (raw) (kcal/mol of atoms) = -76.76
- crystal system = monoclinic

abc: 5.0270 5.1970 5.3251
angles: 90.00 90.00 96.17
Sites, in units of the cell vectors:
O: 0.2465 0.5910 0.9267
Lu: 0.0000 0.2500 0.7656
O: 0.2465 0.0910 0.0733
O: 0.7535 0.4090 0.0733
O: 0.7383 0.5089 0.5598
Ta: 0.5000 0.7500 0.7011
O: 0.7383 0.0089 0.4402
O: 0.7535 0.9090 0.9267
O: 0.2617 0.9911 0.5598
O: 0.2617 0.4911 0.4402
Lu: 0.0000 0.7500 0.2344
Ta: 0.5000 0.2500 0.2989

=====

Entry from Alexandria via LeMat-Bulk: an optimized crystal structure of K2P2PdO7 (PBEsol).

Output
- ΔE_f (raw) (kcal/mol of atoms) = -45.82
- crystal system = orthorhombic

abc: 7.0086 9.2687 10.9304
angles: 90.00 90.00 90.00
Sites, in units of the cell vectors:
K: 0.2500 0.6493 0.0331
Pd: 0.7500 0.6194 0.2466
Pd: 0.2500 0.3806 0.7534
O: 0.9631 0.1261 0.8632
P: 0.9651 0.1295 0.7261
O: 0.0466 0.7686 0.8336
O: 0.2500 0.8693 0.3306
O: 0.7500 0.6307 0.8306
O: 0.9523 0.0056 0.3393
P: 0.9651 0.6295 0.7739
O: 0.5466 0.7314 0.3336
K: 0.2500 0.0925 0.0274
O: 0.5369 0.1261 0.8632
O: 0.0477 0.9944 0.6607
O: 0.9631 0.6261 0.6368
P: 0.0349 0.8705 0.2739
O: 0.9534 0.2314 0.1664
O: 0.4523 0.4944 0.8393
P: 0.5349 0.1295 0.7261
O: 0.5477 0.5056 0.1607
O: 0.0369 0.3739 0.3632
O: 0.0466 0.2686 0.6664
O: 0.4534 0.2686 0.6664
Pd: 0.2500 0.8806 0.7466
O: 0.9523 0.5056 0.1607
O: 0.4534 0.7686 0.8336
O: 0.4631 0.8739 0.1368
O: 0.9534 0.7314 0.3336
O: 0.5369 0.6261 0.6368
O: 0.5466 0.2314 0.1664
K: 0.7500 0.4075 0.5274
O: 0.0369 0.8739 0.1368
K: 0.7500 0.3507 0.9669
K: 0.7500 0.8507 0.5331
O: 0.7500 0.1307 0.6694
O: 0.4523 0.9944 0.6607
K: 0.2500 0.1493 0.4669
P: 0.4651 0.3705 0.2261
P: 0.4651 0.8705 0.2739
P: 0.0349 0.3705 0.2261
O: 0.0477 0.4944 0.8393
O: 0.5477 0.0056 0.3393
O: 0.2500 0.3693 0.1694
Pd: 0.7500 0.1194 0.2534
P: 0.5349 0.6295 0.7739
K: 0.2500 0.5925 0.4726
K: 0.7500 0.9075 0.9726
O: 0.4631 0.3739 0.3632

=====

Entry from Alexandria via LeMat-Bulk: an optimized crystal structure of CaSiPb3 (PBEsol).

Output
- ΔE_f (raw) (kcal/mol of atoms) = 5.26
- crystal system = cubic
- offset from the most stable computed form (kJ per mole of atoms) = 0.0

abc: 5.3831 5.3831 5.3831
angles: 90.00 90.00 90.00
Sites, in units of the cell vectors:
Pb: 0.0000 0.0000 0.5000
Pb: 0.5000 0.0000 0.0000
Pb: 0.0000 0.5000 0.0000
Si: 0.0000 0.0000 0.0000
Ca: 0.5000 0.5000 0.5000

=====

Entry from Alexandria via LeMat-Bulk: an optimized crystal structure of BeFe (PBEsol).

Output
- ΔH_f (0 K) (eV per atom) = -0.135
- crystal system = orthorhombic

abc: 2.4059 3.5269 4.4315
angles: 90.00 105.75 90.00
Last column: magnetic moment on the atom in μB.
Sites, in units of the cell vectors:
Be: 0.4328 0.7500 0.8657  -0.07
Fe: 0.1694 0.7500 0.3387  1.88
Be: 0.5672 0.2500 0.1343  -0.07
Fe: 0.8306 0.2500 0.6613  1.88

=====

Entry from Alexandria via LeMat-Bulk: an optimized crystal structure of CoPbCl2 (PBEsol).

Output
- ΔE_f (raw) (kcal/mol of atoms) = -7.40
- crystal system = monoclinic
- offset from the most stable computed form (kJ per mole of atoms) = 0.0

abc: 3.3898 5.3379 5.5123
angles: 118.05 107.91 90.00
Last column: magnetic moment on the atom in μB.
Sites, in units of the cell vectors:
Cl: 0.8401 0.2987 0.6802  0.06
Pb: 0.1742 0.6057 0.3485  -0.05
Co: 0.4611 0.6265 0.9222  1.63
Cl: 0.0246 0.9692 0.0492  0.06

=====

Entry from Alexandria via LeMat-Bulk: an optimized crystal structure of TlCdPt4 (PBEsol).

Output
- ΔH_f (0 K) (eV per atom) = -0.046
- crystal system = cubic

abc: 5.3248 5.3248 5.3248
angles: 60.00 60.00 60.00
Sites, in units of the cell vectors:
Pt: 0.3750 0.8751 0.3750
Pt: 0.3750 0.3750 0.8751
Pt: 0.8751 0.3750 0.3750
Cd: 0.0000 0.0000 0.0000
Tl: 0.7500 0.7500 0.7500
Pt: 0.3750 0.3750 0.3750

=====

Entry from Alexandria via LeMat-Bulk: an optimized crystal structure of ZrAl (PBEsol).

Output
- ΔH_f (0 K) (eV per atom) = -0.454
- crystal system = orthorhombic

abc: 5.6329 8.6494 9.4191
angles: 90.00 90.00 90.00
Sites, in units of the cell vectors:
Zr: 0.7500 0.0305 0.8822
Zr: 0.7500 0.5305 0.1178
Zr: 0.2500 0.4695 0.8822
Zr: 0.7500 0.6357 0.6872
Zr: 0.2500 0.8643 0.6872
Al: 0.7500 0.8730 0.1458
Al: 0.2500 0.5490 0.5871
Zr: 0.5000 0.2500 0.6147
Al: 0.0000 0.7500 0.9291
Al: 0.2500 0.6270 0.1458
Al: 0.5000 0.7500 0.9291
Al: 0.5000 0.2500 0.0709
Al: 0.2500 0.1270 0.8542
Al: 0.7500 0.9510 0.5871
Zr: 0.2500 0.3643 0.3128
Zr: 0.0000 0.7500 0.3853
Zr: 0.0000 0.2500 0.6147
Al: 0.7500 0.3730 0.8542
Al: 0.7500 0.4510 0.4129
Zr: 0.2500 0.9695 0.1178
Zr: 0.7500 0.1357 0.3128
Al: 0.0000 0.2500 0.0709
Al: 0.2500 0.0490 0.4129
Zr: 0.5000 0.7500 0.3853

=====

Entry from Alexandria via LeMat-Bulk: an optimized crystal structure of Na3NiBSO7 (PBEsol).

Output
- ΔE_f (raw) (kcal/mol of atoms) = -38.85
- crystal system = monoclinic

abc: 5.1928 6.5610 8.8896
angles: 90.00 91.32 90.00
Last column: magnetic moment on the atom in μB.
Sites, in units of the cell vectors:
Ni: 0.7347 0.7500 0.3371  1.52
O: 0.7178 0.0692 0.3233  0.04
Na: 0.7405 0.0055 0.7525  0.00
O: 0.0693 0.2500 0.4536  0.03
O: 0.2822 0.9308 0.6767  0.04
O: 0.7908 0.7500 0.9158  0.02
Na: 0.7405 0.4945 0.7525  0.00
O: 0.9796 0.7500 0.1679  0.12
B: 0.7691 0.7500 0.0672  -0.01
Na: 0.2519 0.7500 0.9368  0.00
O: 0.5353 0.7500 0.1413  0.12
B: 0.2309 0.2500 0.9328  -0.01
Na: 0.2595 0.5055 0.2475  0.00
S: 0.7859 0.2500 0.4179  0.01
O: 0.2092 0.2500 0.0842  0.02
Na: 0.2595 0.9945 0.2475  0.00
O: 0.0204 0.2500 0.8321  0.12
O: 0.3588 0.7500 0.4406  0.02
O: 0.7178 0.4308 0.3233  0.04
O: 0.6412 0.2500 0.5594  0.02
O: 0.2822 0.5692 0.6767  0.04
Ni: 0.2653 0.2500 0.6629  1.52
Na: 0.7481 0.2500 0.0632  0.00
S: 0.2141 0.7500 0.5821  0.01
O: 0.9307 0.7500 0.5464  0.03
O: 0.4647 0.2500 0.8587  0.12